(1)
Compound: HfMgSc2Rh
Source: the Alexandria database
Functional: GGA-PBE
Structure: relaxed

Cell lengths 4.9565, 4.9565, 5.1756 Å; angles 90.00, 90.00, 90.00 degrees
Fractional positions:
Hf  0.0000  0.0000  0.0000
Mg  0.0000  0.0000  0.5000
Sc  0.0000  0.5000  0.0000
Sc  0.5000  0.0000  0.0000
Rh  0.5000  0.5000  0.5000

space-group type	No. 123
theoretical density	5.17	g/cm3
DFT total energy	-25.073	eV per formula unit
V	25.43	Å³ per atom
energy relative to the elements	1298	meV per atom
DOS(E_F)	6.18	states/eV/cell

(2)
Compound: HfMgSn2Rh
Source: the Alexandria database
Functional: GGA-PBE
Structure: relaxed

Cell lengths 5.0503, 5.0503, 4.7640 Å; angles 90.00, 90.00, 90.00 degrees
Fractional positions:
Hf  0.0000  0.0000  0.0000
Mg  0.5000  0.5000  0.0000
Sn  0.0000  0.5000  0.5000
Sn  0.5000  0.0000  0.5000
Rh  0.5000  0.5000  0.5000

space-group type	No. 123
theoretical density	7.42	g/cm3
DFT total energy	-25.703	eV per formula unit
V	24.30	Å³ per atom
energy relative to the elements	240	meV per atom
DOS(E_F)	4.80	states/eV/cell

(3)
Compound: Hf2MgSnRh4
Source: the Alexandria database
Functional: GGA-PBE
Structure: relaxed

Cell lengths 7.9015, 7.9015, 7.9015 Å; angles 33.45, 33.45, 33.45 degrees
Fractional positions:
Hf  0.2482  0.2482  0.2482
Hf  0.7518  0.7518  0.7518
Mg  0.5000  0.5000  0.5000
Sn  0.0000  0.0000  0.0000
Rh  0.1261  0.1261  0.1261
Rh  0.3764  0.3764  0.3764
Rh  0.6236  0.6236  0.6236
Rh  0.8739  0.8739  0.8739

space-group type	No. 166
theoretical density	11.34	g/cm3
DFT total energy	-61.537	eV per formula unit
V	16.68	Å³ per atom
energy relative to the elements	-828	meV per atom
DOS(E_F)	7.93	states/eV/cell

(4)
Compound: Hf2MgRu
Source: the Alexandria database
Functional: GGA-PBE
Structure: relaxed

Cell lengths 7.6843, 7.6843, 5.7025 Å; angles 90.00, 90.00, 90.00 degrees
Fractional positions:
Hf  0.1983  0.2500  0.1250
Hf  0.2500  0.6983  0.3750
Hf  0.2500  0.8017  0.8750
Hf  0.3017  0.2500  0.6250
Hf  0.6983  0.7500  0.6250
Hf  0.7500  0.1983  0.8750
Hf  0.7500  0.3017  0.3750
Hf  0.8017  0.7500  0.1250
Mg  0.0000  0.0000  0.5000
Mg  0.0000  0.5000  0.7500
Mg  0.5000  0.0000  0.2500
Mg  0.5000  0.5000  0.0000
Ru  0.0000  0.0000  0.0000
Ru  0.0000  0.5000  0.2500
Ru  0.5000  0.0000  0.7500
Ru  0.5000  0.5000  0.5000

space-group type	No. 122
theoretical density	9.51	g/cm3
DFT total energy	-30.185	eV per formula unit
V	21.05	Å³ per atom
energy relative to the elements	148	meV per atom
DOS(E_F)	13.84	states/eV/cell